Here is crystalline Zr3ZnHg2 at its relaxed geometry from the Alexandria database. Energies are from GGA-PBE.

Properties
Fermi-level density of states = 5.5 states/eV per cell
Theoretical density = 9.92 g/cm3
DFT formation energy = -198 meV per atom
DFT total energy = -0.3517 Ry/atom
SG = P4/mmm (123)

Cell: 3.2045 3.2045 12.0702 Å, 90.00 90.00 90.00°
Closest atoms and distances in Å follow each position.
Element x y z (fractional)
Hg 0.5000 0.5000 0.1729  8 Zr 3.08-3.11, 4 Hg 3.20
Hg 0.5000 0.5000 0.8271  8 Zr 3.08-3.11, 4 Hg 3.20
Zr 0.0000 0.0000 0.0000  8 Hg 3.08, 4 Zr 3.20
Zr 0.0000 0.0000 0.6511  4 Zn 2.91, 4 Hg 3.11, 4 Zr 3.20
Zr 0.0000 0.0000 0.3489  4 Zn 2.91, 4 Hg 3.11, 4 Zr 3.20
Zn 0.5000 0.5000 0.5000  8 Zr 2.91, 4 Zn 3.20